Material: Sc4CuC2S
Method: DFT, PBE
State: optimized geometry

Computed properties:
Space-group type: P-6m2 (187)
Energy, eV per cell: -58.03

POSCAR file:
```
Sc4CuC2S
1.0
3.420 0.000 0.000
-1.710 2.962 0.000
0.000 0.000 12.411
Sc Cu S C
4 1 1 2
direct
0.000 0.000 0.641
0.667 0.333 0.163
0.667 0.333 0.837
0.000 0.000 0.359
0.000 0.000 0.000
0.667 0.333 0.500
0.333 0.667 0.743
0.333 0.667 0.257
```

***

Material: AlMoAs2
Method: DFT, PBE
State: optimized geometry

Computed properties:
Space-group type: F-43m (216)
Energy, eV per cell: -22.06

POSCAR file:
```
AlMoAs2
1.0
-1.642 -3.481 2.427
-2.911 0.777 3.410
-4.367 -1.205 -0.418
Mo As Al
1 2 1
direct
0.500 0.500 0.500
0.000 0.000 0.000
0.250 0.250 0.250
0.750 0.750 0.750
```

***

Material: YHf2As
Method: DFT, PBE
State: optimized geometry

Computed properties:
Space-group type: F-43m (216)
Energy, eV per cell: -30.92

POSCAR file:
```
YHf2As
1.0
0.000 3.523 3.523
3.523 0.000 3.523
3.523 3.523 0.000
As Y Hf
1 1 2
direct
0.500 0.500 0.500
0.250 0.250 0.250
0.000 0.000 0.000
0.750 0.750 0.750
```